Here is an optimized crystal structure of In2SnHgH from Alexandria. Energies are from PBE.

Unit cell a=5.839 b=5.839 c=3.765 alpha=90.00 beta=90.00 gamma=90.00
Positions (direct):
In: 0.000 0.500 0.000
In: 0.500 0.000 0.000
Sn: 0.000 0.000 0.000
Hg: 0.500 0.500 0.500
H: 0.000 0.000 0.500

E above lowest polymorph in eV/atom: 0.0081
ρ in g cm⁻³: 7.1
Total magnetic moment in μB/f.u.: 0.00
DOS(E_F) in states/eV per cell: 1.593
Space group: P4/mmm


Here is an optimized crystal structure of InSn2HgH from Alexandria. Energies are from PBE.

Unit cell a=4.544 b=4.544 c=5.477 alpha=90.00 beta=90.00 gamma=90.00
Positions (direct):
In: 0.000 0.000 0.000
Sn: 0.000 0.500 0.500
Sn: 0.500 0.000 0.500
Hg: 0.500 0.500 0.000
H: 0.500 0.500 0.500

E above lowest polymorph in eV/atom: 0.0000
ρ in g cm⁻³: 8.1
Total magnetic moment in μB/f.u.: 0.00
DOS(E_F) in states/eV per cell: 1.879
Space group: P4/mmm


Here is an optimized crystal structure of In2SnHgH from Alexandria. Energies are from PBE.

Unit cell a=4.971 b=4.971 c=4.524 alpha=90.00 beta=90.00 gamma=90.00
Positions (direct):
In: 0.000 0.500 0.000
In: 0.500 0.000 0.000
Sn: 0.000 0.000 0.500
Hg: 0.500 0.500 0.500
H: 0.000 0.000 0.000

E above lowest polymorph in eV/atom: 0.0000
ρ in g cm⁻³: 8.2
Total magnetic moment in μB/f.u.: 0.00
DOS(E_F) in states/eV per cell: 2.492
Space group: P4/mmm


Here is an optimized crystal structure of In2SnHgH from Alexandria. Energies are from PBE.

Unit cell a=4.709 b=4.709 c=5.035 alpha=90.00 beta=90.00 gamma=90.00
Positions (direct):
In: 0.000 0.500 0.000
In: 0.500 0.000 0.000
Sn: 0.000 0.000 0.500
Hg: 0.500 0.500 0.500
H: 0.500 0.500 0.000

E above lowest polymorph in eV/atom: 0.0064
ρ in g cm⁻³: 8.2
Total magnetic moment in μB/f.u.: 0.00
DOS(E_F) in states/eV per cell: 2.450
Space group: P4/mmm


Here is an optimized crystal structure of InSn2HgH from Alexandria. Energies are from PBE.

Unit cell a=4.677 b=4.677 c=5.104 alpha=90.00 beta=90.00 gamma=90.00
Positions (direct):
In: 0.000 0.000 0.000
Sn: 0.000 0.500 0.500
Sn: 0.500 0.000 0.500
Hg: 0.500 0.500 0.000
H: 0.000 0.000 0.500

E above lowest polymorph in eV/atom: 0.0048
ρ in g cm⁻³: 8.2
Total magnetic moment in μB/f.u.: 0.00
DOS(E_F) in states/eV per cell: 1.669
Space group: P4/mmm


Here is an optimized crystal structure of SrInHg2H from Alexandria. Energies are from PBE.

Unit cell a=5.146 b=5.146 c=4.512 alpha=90.00 beta=90.00 gamma=90.00
Positions (direct):
Sr: 0.000 0.000 0.000
In: 0.500 0.500 0.000
Hg: 0.000 0.500 0.500
Hg: 0.500 0.000 0.500
H: 0.000 0.000 0.500

ρ in g cm⁻³: 8.4
Uncorrected energy in Ha/atom: -0.0680
Total magnetic moment in μB/f.u.: 0.00
DOS(E_F) in states/eV per cell: 1.729
Space group: P4/mmm


Here is an optimized crystal structure of SrIn2HgH from Alexandria. Energies are from PBE.

Unit cell a=4.878 b=4.878 c=4.869 alpha=90.00 beta=90.00 gamma=90.00
Positions (direct):
Sr: 0.000 0.000 0.000
In: 0.000 0.500 0.500
In: 0.500 0.000 0.500
Hg: 0.500 0.500 0.000
H: 0.000 0.000 0.500

ρ in g cm⁻³: 7.4
Uncorrected energy in Ha/atom: -0.0852
Total magnetic moment in μB/f.u.: 0.00
DOS(E_F) in states/eV per cell: 2.916
Space group: P4/mmm


Here is an optimized crystal structure of Sr2InHgH from Alexandria. Energies are from PBE.

Unit cell a=5.414 b=5.414 c=4.440 alpha=90.00 beta=90.00 gamma=90.00
Positions (direct):
Sr: 0.000 0.500 0.000
Sr: 0.500 0.000 0.000
In: 0.000 0.000 0.500
Hg: 0.500 0.500 0.500
H: 0.500 0.500 0.000

E above lowest polymorph in eV/atom: 0.0052
ρ in g cm⁻³: 6.3
Total magnetic moment in μB/f.u.: 0.00
DOS(E_F) in states/eV per cell: 2.317
Space group: P4/mmm


Here is an optimized crystal structure of Sr2InHgH from Alexandria. Energies are from PBE.

Unit cell a=5.478 b=5.478 c=4.394 alpha=90.00 beta=90.00 gamma=90.00
Positions (direct):
Sr: 0.000 0.500 0.000
Sr: 0.500 0.000 0.000
In: 0.000 0.000 0.500
Hg: 0.500 0.500 0.500
H: 0.000 0.000 0.000

E above lowest polymorph in eV/atom: 0.0000
ρ in g cm⁻³: 6.2
Total magnetic moment in μB/f.u.: 0.00
DOS(E_F) in states/eV per cell: 2.907
Space group: P4/mmm


Here is an optimized crystal structure of YIn2HgH from Alexandria. Energies are from PBE.

Unit cell a=4.741 b=4.741 c=4.526 alpha=90.00 beta=90.00 gamma=90.00
Positions (direct):
Y: 0.000 0.000 0.000
In: 0.000 0.500 0.500
In: 0.500 0.000 0.500
Hg: 0.500 0.500 0.000
H: 0.000 0.000 0.500

ρ in g cm⁻³: 8.5
Uncorrected energy in Ha/atom: -0.1222
Total magnetic moment in μB/f.u.: 0.00
DOS(E_F) in states/eV per cell: 2.352
Space group: P4/mmm


Here is an optimized crystal structure of Y2InHgH from Alexandria. Energies are from PBE.

Unit cell a=4.788 b=4.788 c=4.584 alpha=90.00 beta=90.00 gamma=90.00
Positions (direct):
Y: 0.000 0.500 0.000
Y: 0.500 0.000 0.000
In: 0.000 0.000 0.500
Hg: 0.500 0.500 0.500
H: 0.500 0.500 0.000

ρ in g cm⁻³: 7.8
Uncorrected energy in Ha/atom: -0.1551
Total magnetic moment in μB/f.u.: 0.92
DOS(E_F) in states/eV per cell: 3.021
Space group: P4/mmm


Here is an optimized crystal structure of Zr2InHgH from Alexandria. Energies are from PBE.

Unit cell a=4.336 b=4.336 c=4.752 alpha=90.00 beta=90.00 gamma=90.00
Positions (direct):
Zr: 0.000 0.500 0.000
Zr: 0.500 0.000 0.000
In: 0.000 0.000 0.500
Hg: 0.500 0.500 0.500
H: 0.500 0.500 0.000

E above lowest polymorph in eV/atom: 0.0000
ρ in g cm⁻³: 9.3
Total magnetic moment in μB/f.u.: 0.00
DOS(E_F) in states/eV per cell: 3.544
Space group: P4/mmm


Question: Which formula does entry 9 have?
Answer: Sr2InHgH


Question: Which value of total magnetic moment does entry 12 give?
Answer: 0.00 μB/f.u.


Copy entry 12 word for word.
Here is an optimized crystal structure of Zr2InHgH from Alexandria. Energies are from PBE.

Unit cell a=4.336 b=4.336 c=4.752 alpha=90.00 beta=90.00 gamma=90.00
Positions (direct):
Zr: 0.000 0.500 0.000
Zr: 0.500 0.000 0.000
In: 0.000 0.000 0.500
Hg: 0.500 0.500 0.500
H: 0.500 0.500 0.000

E above lowest polymorph in eV/atom: 0.0000
ρ in g cm⁻³: 9.3
Total magnetic moment in μB/f.u.: 0.00
DOS(E_F) in states/eV per cell: 3.544
Space group: P4/mmm


Question: The lowest ρ belongs to which entry?
Answer: number 9